# V2BiO

An optimized crystal structure of V2BiO (PBE+U, Alexandria).

Lattice parameters (Å, degrees): 4.6467 4.6467 4.6467 60.00 60.00 60.00
Each line ends with the local moment (μB).
Fractional coordinates of all 4 atoms:
V1 0.2500 0.2500 0.2500  2.55
V2 0.7500 0.7500 0.7500  2.55
O1 0.0000 0.0000 0.0000  -0.37
Bi1 0.5000 0.5000 0.5000  -0.31

Properties
Total magnetization (μB/cell): 5.0
Symmetry: Fm-3m, No. 225
DOS(E_F) (states/eV/atom): 0.621
E (eV per atom): -5.28
Mass density (g/cm3): 7.65